# MnHgIO6

A geometry-optimized MnHgIO6 structure (GGA+U, the Alexandria database).

```
MnHgIO6
1.0
4.9996 0.0000 0.0000
0.0166 5.2085 0.0000
0.0147 2.4135 4.6194
Mn Hg I O
1 1 1 6
direct
0.0000 0.0000 0.0000
0.5002 0.3309 0.3319
0.0000 0.6640 0.6646
0.2036 0.3457 0.9591
0.2139 0.9489 0.7095
0.2257 0.6841 0.3659
0.7741 0.3667 0.6853
0.7860 0.7103 0.9499
0.7965 0.9597 0.3467
```

Properties
- total magnetization (μB/f.u.) = 3.98
- total DFT energy (no corrections) (eV/atom) = -4.959
- crystal system = triclinic